# TbZn4Cu2 | Alexandria via LeMat-Bulk | GGA-PBE | optimized geometry
data_TbZn4Cu2
_chemical_formula_sum 'Tb2 Zn8 Cu4'
_cell_length_a 8.277
_cell_length_b 6.643
_cell_length_c 5.026
_cell_angle_alpha 90.00
_cell_angle_beta 127.24
_cell_angle_gamma 90.00
_space_group_name_H-M_alt 'C 1 2/m 1'
_space_group_IT_number 12
loop_
_space_group_symop_operation_xyz
'x,y,z'
'-x,-y,-z'
'-x,y,-z'
'x,-y,z'
'x+1/2,y+1/2,z'
'-x+1/2,-y+1/2,-z'
'-x+1/2,y+1/2,-z'
'x+1/2,-y+1/2,z'
loop_
_atom_site_label
_atom_site_type_symbol
_atom_site_fract_x
_atom_site_fract_y
_atom_site_fract_z
Tb1 Tb 0.000 0.000 0.000
Zn1 Zn 0.194 0.193 0.694
Cu1 Cu 0.000 0.500 0.251
# Density   8.3 g/cm3
# Size of the total moment   0.0 μB per formula unit
# E_form   -5.33 kcal/mol of atoms


# HoTm2Pb | Alexandria via LeMat-Bulk | GGA-PBE | optimized geometry
data_HoTm2Pb
_chemical_formula_sum 'Ho1 Tm2 Pb1'
_cell_length_a 3.613
_cell_length_b 3.613
_cell_length_c 9.029
_cell_angle_alpha 90.00
_cell_angle_beta 90.00
_cell_angle_gamma 90.00
_space_group_name_H-M_alt 'P 4/m m m'
_space_group_IT_number 123
_space_group_name_Hall '-P 4 2'
loop_
_atom_site_label
_atom_site_type_symbol
_atom_site_fract_x
_atom_site_fract_y
_atom_site_fract_z
Ho1 Ho 0.000 0.000 0.000
Tm1 Tm 0.500 0.500 0.263
Pb1 Pb 0.000 0.000 0.500
# Density   10.0 g/cm3
# Size of the total moment   0.0 μB per formula unit
# E_form   -4.66 kcal/mol of atoms